1 | Here is a relaxed structure of La3Dy2Er from the Alexandria database. Energies are from PBE.

DOS(E_F): 1.586 states/eV/atom
crystal system: orthorhombic

```
12
Lattice="1.6267 -5.2063 8.5746 -5.5643 1.4269 8.3832 -0.1065 -2.3080 -9.8963" Properties=species:S:1:pos:R:3 pbc="T T T"
La -2.4553 -2.3191 -1.0870
La -1.5887 -3.7682 8.1485
La -0.2711 -2.5035 2.4736
La -4.5331 0.1733 5.2487
La -3.7730 -3.5838 4.5878
La 0.4890 -6.2606 1.8128
Dy -2.7319 -4.8289 1.4161
Dy -0.5496 -5.0152 4.9852
Dy -3.4945 -1.0722 2.0762
Dy -1.3122 -1.2585 5.6454
Er 0.7601 -3.7571 -0.6609
Er 0.0000 0.0000 0.0000
```

2 | Here is a relaxed structure of La3Dy2Er from the Alexandria database. Energies are from PBE.

DOS(E_F): 1.671 states/eV/atom
crystal system: orthorhombic

```
6
Lattice="-0.9310 -3.2925 0.6151 -0.8535 -0.8616 -5.9035 10.2906 -0.7571 1.6990" Properties=species:S:1:pos:R:3 pbc="T T T"
La -0.4268 -0.4308 -2.9517
La 4.9917 -3.8514 -3.2359
La 3.5143 -1.0598 -0.3534
Dy 1.6817 -2.8533 -2.9030
Dy 6.8244 -2.0579 -0.6863
Er 0.0000 0.0000 0.0000
```

Of them, the most stable is 1 and the least stable is 2.

1 | Here is a relaxed structure of LaDy6Er12 from the Alexandria database. Energies are from PBE.

DOS(E_F): 1.227 states/eV/atom
crystal system: trigonal

```
19
Lattice="8.8965 -0.4725 -2.5845 -3.3143 8.2696 -2.5845 -0.3383 -0.4725 9.2581" Properties=species:S:1:pos:R:3 pbc="T T T"
La 0.0000 0.0000 0.0000
Dy 5.0153 1.4650 3.9109
Dy 3.7371 5.2199 -1.1757
Dy -0.2294 5.2199 3.9109
Dy 1.5068 2.1047 5.2649
Dy 0.2286 5.8596 0.1783
Dy 5.4734 2.1047 0.1783
Er 7.3858 0.2517 2.0446
Er 2.6702 0.9612 2.0822
Er 2.0315 2.8376 -0.4595
Er 5.1945 4.4870 2.0070
Er 3.2124 4.4870 4.5487
Er 2.5737 6.3634 2.0070
Er 1.4609 7.0729 -2.5756
Er -0.9809 3.6623 6.6648
Er -2.1419 7.0729 2.0446
Er 3.7830 0.2517 6.6648
Er 6.2248 3.6623 -2.5756
Er 0.0495 2.8376 2.0822
```

2 | Here is a relaxed structure of LaDy6Er12 from the Alexandria database. Energies are from PBE.

DOS(E_F): 1.631 states/eV/atom
crystal system: trigonal

```
19
Lattice="8.4107 0.7150 0.8566 -0.5683 8.4219 0.8566 -0.5683 -0.6621 8.4394" Properties=species:S:1:pos:R:3 pbc="T T T"
La 0.0000 0.0000 0.0000
Dy 5.5624 7.9896 4.1003
Dy 5.5408 2.5815 1.5590
Dy 0.2202 5.6394 2.8186
Dy 1.7117 0.4853 6.0523
Dy 1.7332 5.8933 8.5937
Dy 7.0539 2.8354 7.3341
Er 5.9254 4.8646 4.8088
Er 2.9192 6.4424 5.6456
Er 3.9100 3.5530 7.3476
Er 1.3487 3.6103 5.3439
Er 4.3549 2.0324 4.5071
Er 3.3641 4.9218 2.8051
Er -0.2648 1.5994 3.1683
Er 5.6531 5.3540 9.6054
Er 4.4351 8.3072 8.0128
Er 7.5388 6.8754 6.9843
Er 1.6210 3.1208 0.5472
Er 2.8390 0.1676 2.1398
```

Of them, the most stable is 2 and the least stable is 1.

1 | Here is a relaxed structure of La2Dy3Er7 from the Alexandria database. Energies are from PBE.

DOS(E_F): 1.541 states/eV/atom
crystal system: monoclinic

```
12
Lattice="3.5082 0.0000 0.0000 0.0000 6.2858 0.7614 0.0000 2.3373 17.7422" Properties=species:S:1:pos:R:3 pbc="T T T"
La 1.7541 4.6322 6.2582
La 1.7541 3.9909 12.2453
Dy 1.7541 3.1429 0.3807
Dy 0.0000 1.4987 6.1655
Dy 0.0000 7.1244 12.3380
Er 1.7541 2.6955 9.0694
Er 1.7541 5.9275 9.4341
Er 0.0000 3.9083 3.2904
Er 0.0000 0.0000 0.0000
Er 0.0000 4.7147 15.2131
Er 1.7541 7.8363 15.5309
Er 1.7541 0.7868 2.9727
```

2 | Here is a relaxed structure of La2Dy3Er7 from the Alexandria database. Energies are from PBE.

DOS(E_F): 1.479 states/eV/atom
crystal system: orthorhombic

```
12
Lattice="-1.3021 1.7722 -2.8575 -0.1434 -4.8482 -2.9414 -17.6248 -0.7503 7.5660" Properties=species:S:1:pos:R:3 pbc="T T T"
La -12.5696 -4.6660 2.8340
La -5.1986 -0.9325 1.7906
Dy -0.7228 -1.5380 -2.8994
Dy -7.3624 -2.7290 -0.6125
Dy -11.7080 -1.0973 2.3797
Er -14.5962 -2.6183 5.0274
Er -9.6093 -4.1350 1.8144
Er 0.0000 0.0000 0.0000
Er -3.1720 -2.9802 -0.4028
Er -3.1223 0.4428 -0.5776
Er -15.9480 -4.2692 2.3447
Er -8.1589 -1.4636 2.8102
```

Of them, the most stable is 1 and the least stable is 2.

1 | Here is a relaxed structure of LaDy2Er8 from the Alexandria database. Energies are from PBE.

DOS(E_F): 1.751 states/eV/atom
crystal system: monoclinic

```
11
Lattice="6.0532 -2.1978 -1.5352 -1.4946 9.6841 2.7107 -1.4946 5.8778 8.1597" Properties=species:S:1:pos:R:3 pbc="T T T"
La 0.0000 0.0000 0.0000
Dy 3.1957 1.8980 1.3258
Dy -0.1316 11.4661 8.0094
Er 0.1961 4.9525 5.3568
Er 0.1961 6.7340 2.8065
Er 2.8679 8.4116 3.9784
Er -0.1183 8.5535 5.9748
Er 2.8679 6.6302 6.5287
Er 0.3994 3.3440 2.3359
Er 2.6646 10.0202 6.9993
Er 3.1824 4.8107 3.3604
```

2 | Here is a relaxed structure of LaDy2Er8 from the Alexandria database. Energies are from PBE.

DOS(E_F): 1.419 states/eV/atom
crystal system: orthorhombic

```
11
Lattice="-4.0079 -0.8418 -3.5957 4.8881 -4.7888 -4.3273 -2.8912 -3.4873 8.1690" Properties=species:S:1:pos:R:3 pbc="T T T"
La -2.0039 -0.4209 -1.7979
Dy 1.4677 -4.9042 -0.4879
Dy -3.4787 -4.2137 0.7339
Er 0.7535 -5.5903 -3.6612
Er -0.7480 -5.5037 2.1221
Er -0.7999 -2.0577 1.3733
Er -5.4526 -5.7460 3.2928
Er -1.2110 -7.0603 -1.1273
Er -1.2630 -3.6143 -1.8761
Er -2.7645 -3.5276 3.9072
Er 3.4417 -3.3719 -3.0468
```

Of them, the most stable is 2 and the least stable is 1.